Entry 1:
VASP calculation (PBE) on crystalline SeBrO3 at its relaxed geometry.

Cell: 3.944 3.944 3.944 Å, 90.00 90.00 90.00°
Element x y z (fractional)
Br  0.500  0.500  0.500
O  0.000  0.500  0.000
O  0.500  0.000  0.000
Se  0.000  0.000  0.000
O  0.000  0.000  0.500

Calculated values
Formation energy (no corrections) (meV/atom): 447


Entry 2:
VASP calculation (PBE) on crystalline Se2BrO at its relaxed geometry.

Cell: 5.091 5.091 7.820 Å, 71.01 71.01 90.00°
Element x y z (fractional)
Se  0.375  0.551  0.750
Se  0.301  0.625  0.250
Br  0.000  0.000  0.000
O  0.500  0.500  0.000
Br  0.750  0.250  0.500
Se  0.875  0.699  0.750
O  0.250  0.750  0.500
Se  0.449  0.125  0.250

Calculated values
E above lowest polymorph (meV/atom): 0
Formation energy (no corrections) (meV/atom): 239


Entry 3:
VASP calculation (PBE) on crystalline SeBrO3 at its relaxed geometry.

Cell: 4.000 4.000 4.000 Å, 90.00 90.00 90.00°
Element x y z (fractional)
Se  0.500  0.500  0.500
Br  0.000  0.000  0.000
O  0.500  0.000  0.000
O  0.000  0.500  0.000
O  0.000  0.000  0.500

Calculated values
Formation energy (no corrections) (meV/atom): 1000


Entry 4:
VASP calculation (PBE) on crystalline SeBrO2 at its relaxed geometry.

Cell: 6.114 6.114 6.116 Å, 60.01 60.01 90.00°
Element x y z (fractional)
Br  0.000  0.000  0.000
O  0.375  0.626  0.750
O  0.875  0.624  0.750
O  0.376  0.625  0.250
Se  0.500  0.500  0.000
Br  0.750  0.250  0.500
O  0.374  0.125  0.250
Se  0.250  0.750  0.500

Calculated values
E above lowest polymorph (meV/atom): 0
Formation energy (no corrections) (meV/atom): 55


Entry 5:
VASP calculation (PBE) on crystalline Se2BrO at its relaxed geometry.

Cell: 8.588 8.588 8.588 Å, 21.71 21.71 21.71°
Element x y z (fractional)
Se  0.103  0.103  0.103
O  0.500  0.500  0.500
Br  0.000  0.000  0.000
Se  0.897  0.897  0.897

Calculated values
E above lowest polymorph (meV/atom): 325
Formation energy (no corrections) (meV/atom): 564


Entry 6:
VASP calculation (PBE) on crystalline SeBrO at its relaxed geometry.

Cell: 5.959 4.473 10.858 Å, 140.44 106.04 75.93°
Element x y z (fractional)
Br  0.123  0.358  0.397
O  0.567  0.640  0.322
O  0.273  0.794  0.917
Se  0.331  0.440  0.931
Br  0.717  0.076  0.842
Se  0.508  0.995  0.308

Calculated values
Formation energy (no corrections) (meV/atom): -324


The following volume values (in A^3/atom) correspond, in order, to the records above: 12.3, 22.5, 12.8, 20.2, 19.0, 29.5.
The following calculated total energy values (in eV/cell) correspond, in order, to the records above: -17.80, -25.29, -15.03, -29.71, -11.34, -22.17.
The following mass density values (in Mg/m³) correspond, in order, to the records above: 5.60, 4.69, 5.37, 3.92, 5.55, 3.28.